! PBE+U PmThFe2O6, optimized geometry; values from VASP
! Raw total energy: -7.76 eV/atom
! Theoretical density: 8.1 Mg/m³
! Magnetization: 5.00 μB/cell
! V: 120 Å³ per cell
! N(E_F): 0.00 states/eV per cell
&SYSTEM
  ibrav = 0, nat = 10, ntyp = 4
/
ATOMIC_SPECIES
Pm 145.00 Pm.upf
Th 232.04 Th.upf
Fe 55.84 Fe.upf
O 16.00 O.upf
CELL_PARAMETERS angstrom
5.400 0.000 0.000
2.404 4.846 0.000
2.449 1.491 4.596
ATOMIC_POSITIONS angstrom
Pm 0.000 0.000 0.000
Th 5.020 3.074 2.217
Fe 2.542 1.560 1.118
Fe 7.646 4.718 3.407
O 2.468 3.396 1.813
O 3.947 3.660 4.152
O 3.618 0.997 2.662
O 5.062 4.552 0.446
O 4.171 1.957 0.122
O 6.318 1.182 2.142